Compound: MnAgHg2F8
Source: the Alexandria database
Functional: PBE with a Hubbard U
Structure: relaxed

Cell lengths 6.345, 6.345, 6.345 Å; angles 113.97, 113.97, 100.81 degrees
Each line ends with the local moment (μB).
Fractional coordinates of all 12 atoms:
F 0.497 0.707 0.790  0.00
Hg 0.750 0.250 0.500  0.01
Ag 0.000 0.000 0.000  0.41
F 0.293 0.083 0.790  0.00
Hg 0.500 0.500 0.000  0.03
F 0.975 0.291 0.316  0.07
F 0.341 0.025 0.316  0.07
Mn 0.250 0.750 0.500  4.48
F 0.293 0.503 0.210  0.00
F 0.917 0.707 0.210  0.00
F 0.709 0.025 0.684  0.07
F 0.975 0.659 0.684  0.07

* magnetic moment: 5.42 μB per cell
* N(E_F): 0.31 states/eV per atom
* E: -3.732 eV per atom